## w
{"formula": "TiGa2Te4", "functional": "PBE", "state": "relaxed", "space_group": "I4/m, No. 87", "magmom_total_mub_per_cell": 3.9, "lattice": [[8.081, 0.000, 0.000], [0.000, 8.081, 0.000], [0.000, 0.000, 6.983]], "species": ["Ti", "Ti", "Ga", "Ga", "Ga", "Ga", "Te", "Te", "Te", "Te", "Te", "Te", "Te", "Te"], "fractional_positions": [[0.000, 0.000, 0.000], [0.500, 0.500, 0.500], [0.000, 0.500, 0.250], [0.000, 0.500, 0.750], [0.500, 0.000, 0.250], [0.500, 0.000, 0.750], [0.169, 0.309, 0.000], [0.191, 0.669, 0.500], [0.309, 0.831, 0.000], [0.331, 0.191, 0.500], [0.669, 0.809, 0.500], [0.691, 0.169, 0.000], [0.809, 0.331, 0.500], [0.831, 0.691, 0.000]]}

***

## x
{"formula": "TiGa2Te4", "functional": "PBE", "state": "relaxed", "space_group": "I4/mmm, No. 139", "magmom_total_mub_per_cell": 0.0, "lattice": [[5.543, 0.000, 0.000], [0.000, 5.543, 0.000], [0.000, 0.000, 13.831]], "species": ["Ti", "Ti", "Ga", "Ga", "Ga", "Ga", "Te", "Te", "Te", "Te", "Te", "Te", "Te", "Te"], "fractional_positions": [[0.000, 0.000, 0.000], [0.500, 0.500, 0.500], [0.000, 0.000, 0.396], [0.000, 0.000, 0.604], [0.500, 0.500, 0.104], [0.500, 0.500, 0.896], [0.000, 0.000, 0.196], [0.000, 0.000, 0.804], [0.000, 0.500, 0.000], [0.000, 0.500, 0.500], [0.500, 0.000, 0.000], [0.500, 0.000, 0.500], [0.500, 0.500, 0.304], [0.500, 0.500, 0.696]]}

***

Most stable pick: w. Distance to second place: 124 meV per atom.

***

## w
{"formula": "Tl2GaTe", "functional": "PBE", "state": "relaxed", "space_group": "Fm-3m, No. 225", "magmom_total_mub_per_cell": 0.0, "lattice": [[7.881, 0.000, 0.000], [0.000, 7.881, 0.000], [0.000, 0.000, 7.881]], "species": ["Tl", "Tl", "Tl", "Tl", "Tl", "Tl", "Tl", "Tl", "Ga", "Ga", "Ga", "Ga", "Te", "Te", "Te", "Te"], "fractional_positions": [[0.250, 0.250, 0.250], [0.250, 0.250, 0.750], [0.250, 0.750, 0.250], [0.250, 0.750, 0.750], [0.750, 0.250, 0.250], [0.750, 0.250, 0.750], [0.750, 0.750, 0.250], [0.750, 0.750, 0.750], [0.000, 0.000, 0.000], [0.000, 0.500, 0.500], [0.500, 0.000, 0.500], [0.500, 0.500, 0.000], [0.000, 0.000, 0.500], [0.000, 0.500, 0.000], [0.500, 0.000, 0.000], [0.500, 0.500, 0.500]]}

***

## x
{"formula": "Tl2GaTe", "functional": "PBE", "state": "relaxed", "space_group": "P4/mmm, No. 123", "magmom_total_mub_per_cell": 0.0, "lattice": [[4.848, 0.000, 0.000], [0.000, 4.848, 0.000], [0.000, 0.000, 5.105]], "species": ["Tl", "Tl", "Ga", "Te"], "fractional_positions": [[0.000, 0.500, 0.000], [0.500, 0.000, 0.000], [0.000, 0.000, 0.500], [0.500, 0.500, 0.500]]}

***

Most stable pick: x. Distance to second place: 117 meV per atom.